Run 1
The following is a DFT calculation (PBE-GGA) of SnI4 after structural relaxation.

As for the symmetry: P-43m, No. 215.

Cell: 6.8918 6.8918 6.8918 Å, 90.00 90.00 90.00°
Sites, in units of the cell vectors:
Sn  0.0000  0.0000  0.0000
I  0.2264  0.2264  0.2264
I  0.2264  0.7736  0.7736
I  0.7736  0.2264  0.7736
I  0.7736  0.7736  0.2264


Run 2
The following is a DFT calculation (PBE-GGA) of SnI4 after structural relaxation.

As for the symmetry: Pa-3, No. 205.

Cell: 13.1709 13.1709 13.1709 Å, 90.00 90.00 90.00°
Sites, in units of the cell vectors:
Sn  0.1345  0.1345  0.1345
Sn  0.1345  0.3655  0.6345
Sn  0.3655  0.6345  0.1345
Sn  0.3655  0.8655  0.6345
Sn  0.6345  0.1345  0.3655
Sn  0.6345  0.3655  0.8655
Sn  0.8655  0.6345  0.3655
Sn  0.8655  0.8655  0.8655
I  0.0030  0.2467  0.5296
I  0.0030  0.2533  0.0296
I  0.0296  0.0030  0.2533
I  0.0296  0.4970  0.7533
I  0.2467  0.5296  0.0030
I  0.2470  0.7470  0.7530
I  0.2470  0.7530  0.2530
I  0.2467  0.9704  0.5030
I  0.2533  0.0296  0.0030
I  0.2530  0.2470  0.7530
I  0.2530  0.2530  0.2530
I  0.2533  0.4704  0.5030
I  0.4704  0.5030  0.2533
I  0.4704  0.9970  0.7533
I  0.4970  0.7467  0.5296
I  0.4970  0.7533  0.0296
I  0.5030  0.2467  0.9704
I  0.5030  0.2533  0.4704
I  0.5296  0.0030  0.2467
I  0.5296  0.4970  0.7467
I  0.7467  0.5296  0.4970
I  0.7470  0.7470  0.7470
I  0.7470  0.7530  0.2470
I  0.7467  0.9704  0.9970
I  0.7533  0.0296  0.4970
I  0.7530  0.2470  0.7470
I  0.7530  0.2530  0.2470
I  0.7533  0.4704  0.9970
I  0.9704  0.5030  0.2467
I  0.9704  0.9970  0.7467
I  0.9970  0.7467  0.9704
I  0.9970  0.7533  0.4704


In terms of stability, run 2 leads; the second structure lies 15 meV per atom higher.